1.
Computed, not measured: a relaxed structure of Li2TmAu2 at the PBE level of DFT.

The structure in POSCAR format:
```
Li2TmAu2
1.0
6.106 0.000 1.844
2.828 4.545 1.666
1.068 0.387 7.493
Tm Au Li
2 4 4
Direct
0.421 0.750 0.250
0.579 0.250 0.750
0.087 0.717 0.657
0.461 0.783 0.843
0.913 0.283 0.343
0.539 0.217 0.157
0.787 0.799 0.448
0.034 0.701 0.052
0.966 0.299 0.948
0.213 0.201 0.552
```

Summary:
formation energy: -0.595 eV per atom
size of the total moment: 0.00 μB per formula unit



2.
Computed, not measured: a relaxed structure of LiTm2Au at the PBE level of DFT.

The structure in POSCAR format:
```
LiTm2Au
1.0
5.027 0.000 0.000
2.513 4.353 0.000
2.513 1.451 4.104
Au Tm Li
1 2 1
Direct
0.500 0.500 0.500
0.250 0.250 0.250
0.750 0.750 0.750
0.000 0.000 0.000
```

Summary:
formation energy: -0.430 eV per atom
size of the total moment: 0.00 μB per formula unit



3.
Computed, not measured: a relaxed structure of LiTm6Au5 at the PBE level of DFT.

The structure in POSCAR format:
```
LiTm6Au5
1.0
4.797 -0.004 -1.345
-3.617 7.075 -3.697
-0.149 -1.045 8.700
Au Tm Li
5 6 1
Direct
0.000 0.671 0.329
0.500 0.148 0.852
0.500 0.500 0.500
0.000 0.329 0.671
0.500 0.852 0.148
0.252 0.083 0.422
0.748 0.578 0.917
0.252 0.422 0.083
0.241 0.741 0.741
0.759 0.259 0.259
0.748 0.917 0.578
0.000 0.000 0.000
```

Summary:
formation energy: -0.765 eV per atom
size of the total moment: 0.00 μB per formula unit



4.
Computed, not measured: a relaxed structure of Li3TmAu4 at the PBE level of DFT.

The structure in POSCAR format:
```
Li3TmAu4
1.0
5.412 0.000 -1.913
-2.706 4.687 -1.913
0.000 0.000 5.740
Au Li Tm
4 3 1
Direct
0.000 0.000 0.500
0.500 0.500 0.500
0.000 0.500 0.000
0.500 0.000 0.000
0.000 0.500 0.500
0.500 0.500 0.000
0.500 0.000 0.500
0.000 0.000 0.000
```

Summary:
formation energy: -0.593 eV per atom
size of the total moment: 0.00 μB per formula unit



5.
Computed, not measured: a relaxed structure of LiTm3Au4 at the PBE level of DFT.

The structure in POSCAR format:
```
LiTm3Au4
1.0
-4.268 -0.980 2.253
-3.857 -1.589 -2.617
-0.339 -8.513 1.035
Au Tm Li
4 3 1
Direct
0.378 0.378 0.867
0.872 0.872 0.384
0.622 0.622 0.133
0.128 0.128 0.616
0.744 0.744 0.767
0.256 0.256 0.233
0.500 0.500 0.500
0.000 0.000 0.000
```

Summary:
formation energy: -0.806 eV per atom
size of the total moment: 0.00 μB per formula unit



6.
Computed, not measured: a relaxed structure of Li3Tm2Au4 at the PBE level of DFT.

The structure in POSCAR format:
```
Li3Tm2Au4
1.0
-2.828 3.460 0.920
-4.841 -0.395 -2.126
-3.883 -4.561 5.184
Au Li Tm
4 3 2
Direct
0.084 0.836 0.360
0.916 0.164 0.640
0.571 0.857 0.846
0.429 0.143 0.154
0.000 0.000 0.000
0.632 0.737 0.533
0.368 0.263 0.467
0.749 0.503 0.209
0.251 0.497 0.791
```

Summary:
formation energy: -0.656 eV per atom
size of the total moment: 0.00 μB per formula unit